Computed, not measured: Mo2PIr at its PBEsol-relaxed geometry at the SCAN level of DFT.

Cell and atoms, written as POSCAR:
```
Mo2PIr
1.0
-1.8705 1.8705 4.0199
1.8705 -1.8705 4.0199
1.8705 1.8705 -4.0199
Mo P Ir
2 1 1
Direct
0.0000 0.0000 0.0000 Mo
0.7500 0.2500 0.5000 Mo
0.5000 0.5000 0.0000 P
0.2500 0.7500 0.5000 Ir
```

## Properties
**Spin magnetization**: 0.00 μB per cell
**Space-group type**: I-4m2 (119)
**DOS(E_F)**: 0.791 states/eV per atom
**Calculated total energy**: -37.736 eV/atom
**ΔH_f (0 K)**: 0.081 eV per atom